Crystalline Li2Cu3S3 at its relaxed geometry, computed with PBE.

```
Li2Cu3S3
1.0
-4.595 -2.402 4.983
3.967 -5.155 1.173
4.738 0.452 4.587
S Li Cu
6 4 6
Cartesian
1.448 -3.975 2.014
0.787 -5.020 6.090
-0.345 -1.505 6.740
4.454 -5.599 4.003
-2.076 -3.582 4.142
3.323 -2.085 4.654
0.604 -2.768 4.412
3.506 -4.336 6.332
2.902 -1.568 1.920
5.803 -3.135 3.840
6.039 -5.448 5.537
-1.929 -1.657 5.206
1.045 -3.144 7.231
-0.749 -5.306 4.535
0.121 -2.251 1.621
3.065 -3.960 3.512
```

Summary:
Space group   P6_3/mcm
Total DFT energy (no corrections)   -4.13 eV per atom
Raw formation energy   -439 kJ/mol of formula units
Fermi-level density of states   2.0 states/eV/f.u.